DFT (GGA-PBE) results for CdIBr4 after structural relaxation.

Calculated values
As for the total magnetic moment: 0.000 Bohr magnetons per cell. The calculation puts the raw total energy at -1.90 eV per atom.

Lattice parameters (Å, degrees): 5.8665 26.7996 7.1558 90.00 96.10 90.00
Space group C2/c (No. 15)
Unique sites:
Cd  0.0000  0.0002  0.2500 (multiplicity 4)
I  0.0000  0.2881  0.2500 (multiplicity 4)
Br  0.1722  0.1839  0.4886 (multiplicity 8)
Br  0.2321  0.0534  0.0196 (multiplicity 8)